Compound: HfCuAg2Br
Source: Alexandria via LeMat-Bulk
Functional: PBE
Structure: relaxed

```
HfCuAg2Br
1.0
4.999 0.000 0.000
0.000 4.999 0.000
0.000 0.000 4.948
Hf Cu Ag Br
1 1 2 1
Cartesian
0.000 0.000 0.000 Hf
2.500 2.500 0.000 Cu
0.000 2.500 2.474 Ag
2.500 0.000 2.474 Ag
0.000 0.000 2.474 Br
```

calculated volume: 24.734 Å³ per atom
mass density: 7.219 g/cm3
energy relative to the lowest polymorph listed for this composition: 0.0000 eV/atom
formation energy from raw total energies: 1.098 eV per atom
D(E_F): 3.69 states/eV/cell
space-group type: P4/mmm